The following is a DFT calculation (PBE-GGA) of a geometry-optimized ScTiTl structure.

abc: 3.2834 3.2834 12.7579
angles: 97.39 97.39 90.00
Closest atoms and distances in Å follow each position.
Atoms (fractional coordinates):
Ti 0.7190 0.7190 0.4380  4 Ti 2.79, 4 Tl 3.01
Sc 0.5634 0.5634 0.1268  4 Tl 3.06, 5 Sc 3.18-3.28
Sc 0.4366 0.4366 0.8732  4 Tl 3.06, 5 Sc 3.18-3.28
Tl 0.1430 0.1430 0.2859  4 Ti 3.01, 4 Sc 3.06, 4 Tl 3.28
Ti 0.2810 0.2810 0.5620  4 Ti 2.79, 4 Tl 3.01
Tl 0.8570 0.8570 0.7141  4 Ti 3.01, 4 Sc 3.06, 4 Tl 3.28

Computed properties:
As for the excess energy over the best structure of this formula in the dataset: 0.0 meV per atom. The calculated formation energy comes out at 0.08 eV per atom. Its magnetization is 0.23 μB/atom.


The following is a DFT calculation (PBE-GGA) of a geometry-optimized ScTiTl2 structure.

abc: 3.6295 3.6295 6.6738
angles: 90.00 90.00 90.00
Closest atoms and distances in Å follow each position.
Atoms (fractional coordinates):
Ti 0.5000 0.5000 0.0000  8 Tl 3.02, 2 Sc 3.34
Tl 0.0000 0.0000 0.2396  4 Ti 3.02, 4 Sc 3.10, 1 Tl 3.20
Sc 0.5000 0.5000 0.5000  8 Tl 3.10, 2 Ti 3.34
Tl 0.0000 0.0000 0.7604  4 Ti 3.02, 4 Sc 3.10, 1 Tl 3.20

Computed properties:
The calculated formation energy comes out at 0.00 eV per atom. Its magnetization is 0.23 μB/atom.


The following is a DFT calculation (PBE-GGA) of a geometry-optimized ScTiTl2 structure.

abc: 6.7537 6.7537 6.7537
angles: 57.09 152.44 131.05
Closest atoms and distances in Å follow each position.
Atoms (fractional coordinates):
Sc 0.0000 0.0000 0.0000  2 Tl 3.06, 2 Sc 3.22, 4 Ti 3.23
Tl 0.0000 0.7418 0.7418  1 Ti 2.87, 1 Sc 3.06
Ti 0.0000 0.5000 0.5000  2 Tl 2.87
Tl 0.0000 0.2582 0.2582  1 Ti 2.87, 1 Sc 3.06

Computed properties:
The calculated formation energy comes out at 0.46 eV per atom. Its magnetization is 0.33 μB/atom.


The following is a DFT calculation (PBE-GGA) of a geometry-optimized Sc2TiTl2 structure.

abc: 8.4729 8.4729 3.2915
angles: 90.00 90.00 90.00
Closest atoms and distances in Å follow each position.
Atoms (fractional coordinates):
Sc 0.3751 0.8751 0.0000  6 Tl 2.90-3.06, 1 Sc 2.99
Sc 0.8751 0.6249 0.0000  6 Tl 2.90-3.06, 1 Sc 2.99
Sc 0.6249 0.1249 0.0000  6 Tl 2.90-3.06, 1 Sc 2.99
Tl 0.1753 0.6753 0.5000  6 Sc 2.90-3.06
Ti 0.5000 0.5000 0.0000  2 Ti 3.29, 4 Sc 3.35, 8 Tl 3.53
Tl 0.8247 0.3247 0.5000  6 Sc 2.90-3.06
Tl 0.3247 0.1753 0.5000  6 Sc 2.90-3.06
Sc 0.1249 0.3751 0.0000  6 Tl 2.90-3.06, 1 Sc 2.99
Ti 0.0000 0.0000 0.0000  2 Ti 3.29, 4 Sc 3.35, 8 Tl 3.53
Tl 0.6753 0.8247 0.5000  6 Sc 2.90-3.06

Computed properties:
As for the excess energy over the best structure of this formula in the dataset: 180.5 meV per atom. The calculated formation energy comes out at 0.14 eV per atom. Its magnetization is 0.50 μB/atom.


The following is a DFT calculation (PBE-GGA) of a geometry-optimized Sc6TiTl5 structure.

abc: 5.0441 8.7847 8.7847
angles: 120.31 106.67 106.67
Closest atoms and distances in Å follow each position.
Atoms (fractional coordinates):
Sc 0.2452 0.7453 0.7453  6 Tl 2.97-3.11, 2 Ti 3.11
Sc 0.2498 0.0826 0.4170  7 Tl 3.08-3.26, 1 Ti 3.11
Tl 0.0000 0.3318 0.6682  8 Sc 3.08-3.11
Tl 0.5000 0.1540 0.8460  8 Sc 2.97-3.26
Sc 0.2498 0.4170 0.0826  7 Tl 3.08-3.26, 1 Ti 3.11
Tl 0.5000 0.8460 0.1540  8 Sc 2.97-3.26
Tl 0.5000 0.5000 0.5000  8 Sc 3.07-3.11
Sc 0.7502 0.9174 0.5830  7 Tl 3.08-3.26, 1 Ti 3.11
Ti 0.0000 0.0000 0.0000  8 Sc 3.11, 4 Tl 3.45
Tl 0.0000 0.6682 0.3318  8 Sc 3.08-3.11
Sc 0.7548 0.2547 0.2547  6 Tl 2.97-3.11, 2 Ti 3.11
Sc 0.7502 0.5830 0.9174  7 Tl 3.08-3.26, 1 Ti 3.11

Computed properties:
The calculated formation energy comes out at -0.22 eV per atom. Its magnetization is 0.28 μB/atom.


The following is a DFT calculation (PBE-GGA) of a geometry-optimized Sc2TiTl2 structure.

abc: 7.7300 7.7300 3.8956
angles: 90.00 90.00 90.00
Closest atoms and distances in Å follow each position.
Atoms (fractional coordinates):
Sc 0.6683 0.8317 0.5000  6 Tl 2.88-3.07
Ti 0.0000 0.0000 0.0000  4 Tl 3.00
Ti 0.5000 0.5000 0.0000  4 Tl 3.00
Tl 0.3622 0.8622 0.0000  6 Sc 2.88-3.07, 2 Ti 3.00, 1 Tl 3.01
Sc 0.1683 0.6683 0.5000  6 Tl 2.88-3.07
Tl 0.1378 0.3622 0.0000  6 Sc 2.88-3.07, 2 Ti 3.00, 1 Tl 3.01
Tl 0.6378 0.1378 0.0000  6 Sc 2.88-3.07, 2 Ti 3.00, 1 Tl 3.01
Sc 0.8317 0.3317 0.5000  6 Tl 2.88-3.07
Sc 0.3317 0.1683 0.5000  6 Tl 2.88-3.07
Tl 0.8622 0.6378 0.0000  6 Sc 2.88-3.07, 2 Ti 3.00, 1 Tl 3.01

Computed properties:
As for the excess energy over the best structure of this formula in the dataset: 0.0 meV per atom. The calculated formation energy comes out at -0.04 eV per atom. Its magnetization is 0.52 μB/atom.


The following is a DFT calculation (PBE-GGA) of a geometry-optimized ScTiTl2 structure.

abc: 7.8170 7.8170 6.3567
angles: 52.06 52.06 90.00
Closest atoms and distances in Å follow each position.
Atoms (fractional coordinates):
Tl 0.8750 0.8866 0.7500  2 Ti 2.81, 2 Sc 2.94, 2 Tl 3.14
Ti 0.7500 0.2500 0.5000  4 Tl 2.81, 2 Sc 3.14
Tl 0.3750 0.3634 0.7500  2 Ti 2.81, 2 Sc 2.94, 2 Tl 3.14
Ti 0.0000 0.0000 0.0000  4 Tl 2.81, 2 Sc 3.14
Tl 0.1134 0.6250 0.2500  2 Ti 2.81, 2 Sc 2.94, 2 Tl 3.14
Sc 0.2500 0.7500 0.5000  4 Tl 2.94, 2 Ti 3.14
Sc 0.5000 0.5000 0.0000  4 Tl 2.94, 2 Ti 3.14
Tl 0.6366 0.1250 0.2500  2 Ti 2.81, 2 Sc 2.94, 2 Tl 3.14

Computed properties:
The calculated formation energy comes out at 0.23 eV per atom. Its magnetization is 0.23 μB/atom.


The following is a DFT calculation (PBE-GGA) of a geometry-optimized ScTi3Tl structure.

abc: 4.7602 4.7602 4.7602
angles: 90.00 90.00 90.00
Closest atoms and distances in Å follow each position.
Atoms (fractional coordinates):
Tl 0.5000 0.5000 0.5000  12 Ti 3.37
Ti 0.0000 0.5000 0.0000  2 Sc 2.38
Ti 0.0000 0.0000 0.5000  2 Sc 2.38
Ti 0.5000 0.0000 0.0000  2 Sc 2.38
Sc 0.0000 0.0000 0.0000  6 Ti 2.38

Computed properties:
As for the excess energy over the best structure of this formula in the dataset: 0.0 meV per atom. The calculated formation energy comes out at 1.11 eV per atom. Its magnetization is 0.37 μB/atom.


Listing electronic total energy for the structures above in their given order: -5.4466 -4.7399 -4.2804 -4.9147 -5.0290 -5.0952 -4.5136 -5.3692 eV per atom.